Density functional theory data (GGA-PBEsol) for a relaxed structure of BaBe4P.

Values from the calculation:
The value obtained for the calculated volume is 15.15 Å³ per atom. The total moment is 0.00 μB per cell. For the formation enthalpy at 0 K, the calculation gives 718.7 meV per atom.

Lattice parameters (Å, degrees): 7.1371 7.1371 7.1371 90.00 90.00 90.00
Last column: nearest neighbours and their distance in Å.
Space group F-43m (No. 216)
One atom of each set of equivalent atoms:
Ba: 0.0000 0.0000 0.0000 [4 per cell]  12 Be 2.97, 4 P 3.09
Be: 0.1181 0.1181 0.3819 [16 per cell]  6 Be 2.38-2.66
P: 0.2500 0.2500 0.7500 [4 per cell]  12 Be 2.95, 4 Ba 3.09

=====

Density functional theory data (GGA-PBEsol) for a relaxed structure of BaBeTcPb2.

Values from the calculation:
The value obtained for the calculated volume is 31.21 Å³ per atom. The total moment is 0.00 μB per cell. For the formation enthalpy at 0 K, the calculation gives 764.7 meV per atom.

Lattice parameters (Å, degrees): 5.2591 5.2591 5.6430 90.00 90.00 90.00
Last column: nearest neighbours and their distance in Å.
Space group P4/mmm (No. 123)
One atom of each set of equivalent atoms:
Ba: 0.0000 0.0000 0.0000 [1 per cell]  2 Tc 2.82
Be: 0.5000 0.5000 0.0000 [1 per cell]  4 Ba 3.72, 8 Pb 3.86
Tc: 0.0000 0.0000 0.5000 [1 per cell]  4 Pb 2.63, 2 Ba 2.82
Pb: 0.0000 0.5000 0.5000 [2 per cell]  2 Tc 2.63